A plane-wave DFT calculation with PBE was carried out for crystalline MoRh2Br2 at its relaxed geometry.

calculated total energy = -49.03 eV for the cell shown

Cell lengths 7.252, 7.252, 3.219 Å; angles 90.00, 90.00, 90.00 degrees
Sites, in units of the cell vectors:
Br1 0.839 0.661 0.000
Br2 0.339 0.839 0.000
Br3 0.161 0.339 0.000
Br4 0.661 0.161 0.000
Rh1 0.651 0.849 0.500
Rh2 0.151 0.651 0.500
Rh3 0.849 0.349 0.500
Rh4 0.349 0.151 0.500
Mo1 0.000 0.000 0.000
Mo2 0.500 0.500 0.000

---

A plane-wave DFT calculation with PBE was carried out for crystalline MoRh3Br at its relaxed geometry.

calculated total energy = -27.71 eV for the cell shown

Cell lengths 4.572, 4.572, 4.572 Å; angles 90.00, 90.00, 90.00 degrees
Each line ends with the local moment (μB).
Sites, in units of the cell vectors:
Rh1 0.000 0.000 0.500  0.02
Rh2 0.000 0.500 0.000  0.00
Rh3 0.500 0.000 0.000  -0.06
Mo1 0.500 0.500 0.500  2.94
Br1 0.000 0.000 0.000  0.01

---

A plane-wave DFT calculation with PBE was carried out for crystalline MoRh2Br2 at its relaxed geometry.

calculated total energy = -24.35 eV for the cell shown

Cell lengths 3.370, 3.370, 10.081 Å; angles 80.38, 80.38, 90.00 degrees
Each line ends with the local moment (μB).
Sites, in units of the cell vectors:
Br1 0.580 0.580 0.840  -0.01
Br2 0.420 0.420 0.160  -0.01
Mo1 0.000 0.000 0.000  0.90
Rh1 0.250 0.750 0.500  0.04
Rh2 0.750 0.250 0.500  0.04

---

A plane-wave DFT calculation with PBE was carried out for crystalline Mo2RhBr2 at its relaxed geometry.

calculated total energy = -54.47 eV for the cell shown

Cell lengths 7.575, 7.575, 3.029 Å; angles 90.00, 90.00, 90.00 degrees
Sites, in units of the cell vectors:
Br1 0.863 0.363 0.500
Br2 0.363 0.137 0.500
Br3 0.137 0.637 0.500
Br4 0.637 0.863 0.500
Mo1 0.671 0.171 0.000
Mo2 0.171 0.329 0.000
Mo3 0.829 0.671 0.000
Mo4 0.329 0.829 0.000
Rh1 0.500 0.500 0.000
Rh2 0.000 0.000 0.000

---

Energy relative to the elements, uncorrected: 873, 1370, 906, 1025 (meV per atom)
Volume: 169.3, 95.5, 111.3, 173.8 (Å³ per cell)